An optimized crystal structure of Pm2Sm3HoTe6. Source: Alexandria, functional GGA-PBE.

Properties
V (Å³/f.u.): 370
ΔE_f (raw) (eV/atom): -1.37
DOS(E_F) (states/eV/f.u.): 6.65
DFT total energy (eV/atom): -5.293

```
data_Pm2Sm3HoTe6
_chemical_formula_sum 'Pm4 Sm6 Ho2 Te12'
_cell_length_a 19.311
_cell_length_b 4.408
_cell_length_c 8.918
_cell_angle_alpha 90.00
_cell_angle_beta 102.96
_cell_angle_gamma 90.00
_space_group_name_H-M_alt 'C 1 2/m 1'
_space_group_IT_number 12
loop_
_space_group_symop_operation_xyz
'x,y,z'
'-x,-y,-z'
'-x,y,-z'
'x,-y,z'
'x+1/2,y+1/2,z'
'-x+1/2,-y+1/2,-z'
'-x+1/2,y+1/2,-z'
'x+1/2,-y+1/2,z'
loop_
_atom_site_label
_atom_site_fract_x
_atom_site_fract_y
_atom_site_fract_z
_atom_site_occupancy
Pm1 0.169 0.000 0.336 1
Sm1 0.000 0.500 0.500 1
Sm2 0.171 0.000 0.834 1
Ho1 0.000 0.500 0.000 1
Te1 0.001 0.000 0.757 1
Te2 0.162 0.500 0.079 1
Te3 0.165 0.500 0.584 1
```